A relaxed Sr2TaOs crystal, computed with GGA-PBE.

Structure (POSCAR):
```
Sr2TaOs
1.0
0.000 3.725 3.725
3.725 0.000 3.725
3.725 3.725 0.000
Sr Os Ta
2 1 1
direct
0.250 0.250 0.250
0.750 0.750 0.750
0.500 0.500 0.500
0.000 0.000 0.000
```

Values from the calculation:
The volume is 25.8 Å³ per atom. For the electronic total energy, the calculation gives -5.1391 eV per atom. As for the distance to the lowest polymorph of the same formula: 1213 meV/atom. The space-group type is No. 225. The calculated formation energy comes out at 142.07 kJ/mol of atoms. The total magnetization comes out at 2.9 μB per formula unit.



A relaxed SrTa2Os crystal, computed with GGA-PBE.

Structure (POSCAR):
```
SrTa2Os
1.0
-0.364 9.672 -1.606
-3.308 9.223 -0.508
-0.905 9.650 1.521
Os Sr Ta
1 1 2
direct
0.513 0.513 0.513
0.756 0.756 0.756
0.987 0.987 0.987
0.243 0.243 0.243
```

Values from the calculation:
The volume is 21.0 Å³ per atom. For the electronic total energy, the calculation gives -8.5273 eV per atom. As for the distance to the lowest polymorph of the same formula: 279 meV/atom. The space-group type is No. 160. The calculated formation energy comes out at 60.49 kJ/mol of atoms. The total magnetization comes out at 0.0 μB per formula unit.